ScTe2ICl | the Alexandria database | PBE | relaxed; electronic total energy = -2.82 eV per atom; ΔE to the lowest computed polymorph = 680 meV per atom; size of the total moment = 0.045 μB/atom; formation energy (no corrections) = 385 meV/atom
1.0
5.530 0.000 0.000
0.000 5.530 0.000
0.000 0.000 5.312
Sc Te I Cl
1 2 1 1
direct
0.000 0.000 0.000
0.000 0.500 0.500
0.500 0.000 0.500
0.500 0.500 0.000
0.500 0.500 0.500